No. 1
First-principles (PBE) data for an optimized crystal structure of LiTl2InO, as listed in Alexandria.

Structure (extended XYZ):
```
5
Lattice="5.767 0.000 0.000 0.000 5.767 0.000 0.000 0.000 3.457" Properties=species:S:1:pos:R:3 pbc="T T T"
Li 0.000 0.000 0.000
Tl 0.000 2.884 0.000
Tl 2.884 0.000 0.000
In 2.884 2.884 1.729
O 0.000 0.000 1.729
```

Summary:
formation energy (no corrections)	-34	kJ per mole of atoms
SG	P4/mmm
energy	-3.2251	eV per atom

---

No. 2
First-principles (PBE) data for an optimized crystal structure of LaGe4Os, as listed in Alexandria.

Structure (extended XYZ):
```
12
Lattice="6.435 0.000 0.000 3.217 5.716 0.000 0.000 0.709 6.805" Properties=species:S:1:pos:R:3 pbc="T T T"
La 2.233 3.031 1.703
La 7.419 3.394 5.102
Ge 0.862 0.154 0.980
Ge 4.051 3.897 4.024
Ge 2.355 0.512 4.383
Ge 4.050 2.884 6.184
Ge 5.602 3.541 0.621
Ge 7.297 5.913 2.422
Ge 5.600 2.528 2.781
Ge 8.789 6.271 5.825
Os 0.000 0.354 3.402
Os 3.217 0.000 0.000
```

Summary:
DFT formation energy	-27.04	kJ per mole of atoms
SG	P-1
energy	-6.0514	eV per atom

---

No. 3
First-principles (PBE) data for an optimized crystal structure of CdAs2PtBr, as listed in Alexandria.

Structure (extended XYZ):
```
5
Lattice="4.917 0.000 0.000 0.000 4.917 0.000 0.000 0.000 5.366" Properties=species:S:1:pos:R:3 pbc="T T T"
Cd 0.000 0.000 0.000
As 0.000 2.458 2.683
As 2.458 0.000 2.683
Pt 2.458 2.458 2.683
Br 2.458 2.458 0.000
```

Summary:
formation energy (no corrections)	36	kJ per mole of atoms
SG	P4/mmm
energy	-3.2102	eV per atom
polymorph energy (0 for the lowest one)	0	meV per atom

---

No. 4
First-principles (PBE) data for an optimized crystal structure of La2NbF, as listed in Alexandria.

Structure (extended XYZ):
```
16
Lattice="5.798 0.000 0.000 0.000 5.798 0.000 0.000 0.000 12.926" Properties=species:S:1:pos:R:3 pbc="T T T"
La 1.276 1.449 1.616
La 1.449 4.175 4.847
La 1.449 4.522 11.310
La 1.623 1.449 8.079
La 4.175 4.348 8.079
La 4.348 1.276 11.310
La 4.348 1.623 4.847
La 4.522 4.348 1.616
Nb 0.000 0.000 6.463
Nb 0.000 2.899 9.694
Nb 2.899 0.000 3.231
Nb 2.899 2.899 0.000
F 0.000 0.000 0.000
F 0.000 2.899 3.231
F 2.899 0.000 9.694
F 2.899 2.899 6.463
```

Summary:
formation energy (no corrections)	-56	kJ per mole of atoms
SG	I-42d
energy	-6.0317	eV per atom
polymorph energy (0 for the lowest one)	0	meV per atom

---

No. 5
First-principles (PBE) data for an optimized crystal structure of ErLu2Sc, as listed in Alexandria.

Structure (extended XYZ):
```
16
Lattice="7.727 0.000 0.000 0.000 7.727 0.000 0.000 0.000 7.727" Properties=species:S:1:pos:R:3 pbc="T T T"
Er 0.000 0.000 0.000
Er 0.000 3.863 3.863
Er 3.863 0.000 3.863
Er 3.863 3.863 0.000
Lu 1.932 1.932 1.932
Lu 1.932 1.932 5.795
Lu 1.932 5.795 1.932
Lu 1.932 5.795 5.795
Lu 5.795 1.932 1.932
Lu 5.795 1.932 5.795
Lu 5.795 5.795 1.932
Lu 5.795 5.795 5.795
Sc 0.000 0.000 3.863
Sc 0.000 3.863 0.000
Sc 3.863 0.000 0.000
Sc 3.863 3.863 3.863
```

Summary:
DFT formation energy	13.26	kJ per mole of atoms
SG	Fm-3m
energy	-4.8467	eV per atom
polymorph energy (0 for the lowest one)	92	meV per atom

---

No. 6
First-principles (PBE) data for an optimized crystal structure of Tb3Pu5H12, as listed in Alexandria.

Structure (extended XYZ):
```
80
Lattice="-6.499 6.499 6.499 6.499 -6.499 6.499 6.499 6.499 -6.499" Properties=species:S:1:pos:R:3 pbc="T T T"
Tb 3.250 1.625 0.000
Tb 6.499 3.250 -1.625
Tb 1.625 0.000 3.250
Tb 8.124 0.000 3.250
Tb 0.000 3.250 1.625
Tb 3.250 -1.625 6.499
Tb 3.250 8.124 0.000
Tb 6.499 3.250 4.875
Tb -1.625 6.499 3.250
Tb 4.875 6.499 3.250
Tb 0.000 3.250 8.124
Tb 3.250 4.875 6.499
Pu 0.000 0.000 0.000
Pu 3.250 3.250 -3.250
Pu 3.250 -3.250 3.250
Pu 6.499 0.000 0.000
Pu 9.749 1.625 0.000
Pu 6.499 -3.250 4.875
Pu 4.875 6.499 -3.250
Pu 4.875 0.000 3.250
Pu 3.250 4.875 0.000
Pu 6.499 3.250 1.625
Pu -3.250 3.250 3.250
Pu 0.000 6.499 0.000
Pu 0.000 0.000 6.499
Pu 3.250 3.250 3.250
Pu 0.000 3.250 4.875
Pu 3.250 1.625 6.499
Pu 1.625 6.499 3.250
Pu 1.625 0.000 9.749
Pu 0.000 9.749 1.625
Pu -3.250 4.875 6.499
H 2.007 -0.020 0.955
H 7.742 4.205 -3.270
H 8.506 0.020 0.955
H 7.742 -2.294 3.270
H 6.479 -0.955 2.007
H 9.769 -1.243 2.294
H 0.955 2.007 -0.020
H 8.794 3.230 -1.243
H 4.205 3.270 -1.243
H 5.544 2.007 0.020
H -0.020 0.955 2.007
H 3.270 -1.243 4.205
H 6.479 5.544 -2.007
H 3.270 1.243 2.294
H 4.205 -3.270 7.742
H 5.544 -2.007 6.479
H 2.294 3.270 1.243
H 7.455 4.493 0.020
H 3.270 7.742 -2.294
H 6.479 0.955 4.493
H 2.007 6.479 -0.955
H 7.742 2.294 3.230
H 1.243 2.294 3.270
H 2.007 0.020 5.544
H 4.493 6.479 0.955
H 5.257 4.205 3.230
H -1.243 4.205 3.270
H 4.493 0.020 7.455
H 0.020 5.544 2.007
H 3.230 -1.243 8.794
H -0.955 2.007 6.479
H 4.205 3.230 5.257
H 0.955 8.506 0.020
H 2.294 9.769 -1.243
H 3.230 5.257 4.205
H 0.020 0.955 8.506
H 3.230 7.742 2.294
H 6.520 5.544 4.493
H 0.955 4.493 6.479
H 2.294 3.230 7.742
H -2.294 3.270 7.742
H 5.544 4.493 6.520
H -3.270 7.742 4.205
H 0.020 7.455 4.493
H -1.243 8.794 3.230
H -2.007 6.479 5.544
H -1.243 2.294 9.769
H 4.493 6.520 5.544
```

Summary:
SG	Ia-3d
energy	-6.5400	eV per atom

---

No. 7
First-principles (PBE) data for an optimized crystal structure of Cu5AsS6, as listed in Alexandria.

Structure (extended XYZ):
```
12
Lattice="3.170 -5.181 0.000 3.170 5.181 0.000 -2.434 0.000 5.779" Properties=species:S:1:pos:R:3 pbc="T T T"
Cu 0.000 0.000 0.000
Cu 1.952 3.507 2.890
Cu 3.170 1.718 0.000
Cu 3.170 -1.718 0.000
Cu 1.952 -3.507 2.890
As 1.952 0.000 2.890
S 0.629 1.714 1.482
S -0.046 0.000 4.421
S 0.629 -1.714 1.482
S 3.276 1.714 4.297
S 3.951 0.000 1.358
S 3.276 -1.714 4.297
```

Summary:
formation energy (no corrections)	-7	kJ per mole of atoms
SG	C2/m
energy	-4.2268	eV per atom

---

No. 8
First-principles (PBE) data for an optimized crystal structure of AsRu3, as listed in Alexandria.

Structure (extended XYZ):
```
12
Lattice="8.420 0.000 0.000 -4.210 7.292 0.000 0.000 0.000 2.874" Properties=species:S:1:pos:R:3 pbc="T T T"
As 0.000 0.000 0.000
As 0.000 4.862 1.916
As 4.210 2.431 0.958
Ru -2.105 3.646 0.000
Ru 0.000 2.431 0.958
Ru -2.105 6.077 0.958
Ru 2.105 1.215 1.916
Ru 4.210 0.000 0.000
Ru 2.105 3.646 0.000
Ru 2.105 6.077 0.958
Ru 6.315 1.215 1.916
Ru 4.210 4.862 1.916
```

Summary:
DFT formation energy	41.64	kJ per mole of atoms
SG	R-3m
energy	-7.6877	eV per atom
polymorph energy (0 for the lowest one)	367	meV per atom

---

No. 9
First-principles (PBE) data for an optimized crystal structure of TbTlIn, as listed in Alexandria.

Structure (extended XYZ):
```
6
Lattice="4.756 0.000 0.000 2.358 5.863 0.000 2.364 1.575 5.792" Properties=species:S:1:pos:R:3 pbc="T T T"
Tb 1.183 1.544 1.201
Tb 8.295 5.893 4.592
Tl 3.551 4.125 1.004
Tl 5.928 3.313 4.789
In 3.551 2.177 3.455
In 5.927 5.260 2.337
```

Summary:
DFT formation energy	-27.52	kJ per mole of atoms
SG	P-1
energy	-3.5303	eV per atom
polymorph energy (0 for the lowest one)	13	meV per atom

---

No. 10
First-principles (PBE) data for an optimized crystal structure of PrMgCu2Ge2, as listed in Alexandria.

Structure (extended XYZ):
```
6
Lattice="4.247 0.000 0.000 -2.123 3.678 0.000 0.000 0.000 7.069" Properties=species:S:1:pos:R:3 pbc="T T T"
Pr 0.000 0.000 0.000
Mg 0.000 0.000 3.534
Cu 0.000 2.452 4.798
Cu 2.123 1.226 2.271
Ge 0.000 2.452 1.904
Ge 2.123 1.226 5.165
```

Summary:
DFT formation energy	-46.23	kJ per mole of atoms
SG	P-3m1
energy	-4.4460	eV per atom

---

No. 11
First-principles (PBE) data for an optimized crystal structure of Np4Cd, as listed in Alexandria.

Structure (extended XYZ):
```
5
Lattice="5.673 0.000 0.000 0.000 5.673 0.000 0.000 0.000 5.673" Properties=species:S:1:pos:R:3 pbc="T T T"
Np 0.000 0.000 0.000
Np 0.000 2.836 2.836
Np 2.836 0.000 2.836
Np 2.836 2.836 0.000
Cd 2.836 2.836 2.836
```

Summary:
DFT formation energy	187.59	kJ per mole of atoms
SG	Pm-3m
energy	-8.5914	eV per atom

---

No. 12
First-principles (PBE) data for an optimized crystal structure of AsSeO2, as listed in Alexandria.

Structure (extended XYZ):
```
12
Lattice="3.246 0.000 0.000 -1.623 2.812 0.000 0.000 0.000 19.210" Properties=species:S:1:pos:R:3 pbc="T T T"
As 0.000 0.000 0.000
As 0.000 1.874 12.807
As 1.623 0.937 6.403
Se 0.000 0.000 9.605
Se 0.000 1.874 3.202
Se 1.623 0.937 16.008
O 0.000 0.000 7.520
O 0.000 0.000 11.690
O 0.000 1.874 1.116
O 0.000 1.874 5.287
O 1.623 0.937 13.923
O 1.623 0.937 18.094
```

Summary:
formation energy (no corrections)	-31	kJ per mole of atoms
SG	R-3m
energy	-4.8390	eV per atom
polymorph energy (0 for the lowest one)	0	meV per atom

---

No. 13
First-principles (PBE) data for an optimized crystal structure of Cs2ScSb, as listed in Alexandria.

Structure (extended XYZ):
```
16
Lattice="14.508 0.000 0.000 0.000 14.508 0.000 0.000 0.000 5.532" Properties=species:S:1:pos:R:3 pbc="T T T"
Cs 1.204 10.881 0.692
Cs 3.627 1.204 4.841
Cs 3.627 6.050 2.075
Cs 6.050 10.881 3.458
Cs 8.459 3.627 3.458
Cs 10.881 8.459 2.075
Cs 10.881 13.304 4.841
Cs 13.304 3.627 0.692
Sc 0.000 0.000 2.766
Sc 0.000 7.254 4.149
Sc 7.254 0.000 1.383
Sc 7.254 7.254 0.000
Sb 0.000 0.000 0.000
Sb 0.000 7.254 1.383
Sb 7.254 0.000 4.149
Sb 7.254 7.254 2.766
```

Summary:
formation energy (no corrections)	-1	kJ per mole of atoms
SG	I-42d
energy	-3.0527	eV per atom
polymorph energy (0 for the lowest one)	0	meV per atom

---

No. 14
First-principles (PBE) data for an optimized crystal structure of MnMoRh2, as listed in Alexandria.

Structure (extended XYZ):
```
4
Lattice="3.175 0.000 0.000 0.000 3.175 0.000 0.000 0.000 5.713" Properties=species:S:1:pos:R:3 pbc="T T T"
Mn 0.000 0.000 0.000
Mo 1.587 1.587 1.446
Rh 0.000 0.000 2.820
Rh 1.587 1.587 4.505
```

Summary:
DFT formation energy	5.37	kJ per mole of atoms
SG	P4mm
energy	-8.6202	eV per atom
polymorph energy (0 for the lowest one)	216	meV per atom

---

No. 15
First-principles (PBE) data for an optimized crystal structure of Li2AlW, as listed in Alexandria.

Structure (extended XYZ):
```
4
Lattice="2.687 0.000 0.000 0.000 3.984 0.000 0.000 0.000 5.835" Properties=species:S:1:pos:R:3 pbc="T T T"
Li 0.000 0.000 0.000
Li 1.343 1.992 1.400
Al 1.343 1.992 4.190
W 0.000 0.000 2.951
```

Summary:
DFT formation energy	24.64	kJ per mole of atoms
SG	Pmm2
energy	-4.8754	eV per atom

---

No. 16
First-principles (PBE) data for an optimized crystal structure of Cr2Co2Rh7, as listed in Alexandria.

Structure (extended XYZ):
```
11
Lattice="4.378 -3.990 0.000 4.378 3.990 0.000 -1.012 0.000 4.537" Properties=species:S:1:pos:R:3 pbc="T T T"
Cr -0.026 0.000 0.977
Cr 7.770 0.000 3.560
Co 4.378 1.334 0.000
Co 4.378 -1.334 0.000
Rh 2.011 1.408 1.143
Rh 1.428 0.000 3.371
Rh 2.011 -1.408 1.143
Rh 3.872 0.000 2.269
Rh 5.732 1.408 3.395
Rh 6.316 0.000 1.166
Rh 5.732 -1.408 3.395
```

Summary:
DFT formation energy	29.11	kJ per mole of atoms
SG	C2/m
energy	-7.4182	eV per atom

---

No. 17
First-principles (PBE) data for an optimized crystal structure of Ca2BeNi, as listed in Alexandria.

Structure (extended XYZ):
```
4
Lattice="3.201 0.000 0.000 0.000 3.273 0.000 0.000 0.000 8.070" Properties=species:S:1:pos:R:3 pbc="T T T"
Ca 0.000 0.000 0.000
Ca 1.600 1.637 3.264
Be 1.600 1.637 5.985
Ni 0.000 0.000 5.350
```

Summary:
DFT formation energy	9.64	kJ per mole of atoms
SG	Pmm2
energy	-3.2778	eV per atom

---

No. 18
First-principles (PBE) data for an optimized crystal structure of NbTl2Hg, as listed in Alexandria.

Structure (extended XYZ):
```
16
Lattice="7.992 0.000 0.000 0.000 7.992 0.000 0.000 0.000 6.180" Properties=species:S:1:pos:R:3 pbc="T T T"
Nb 0.000 0.000 0.000
Nb 0.000 3.996 1.545
Nb 3.996 0.000 4.635
Nb 3.996 3.996 3.090
Tl 1.973 5.994 0.772
Tl 1.998 1.973 5.407
Tl 1.998 2.023 2.317
Tl 2.023 5.994 3.862
Tl 5.969 1.998 3.862
Tl 5.994 5.969 2.317
Tl 5.994 6.019 5.407
Tl 6.019 1.998 0.772
Hg 0.000 0.000 3.090
Hg 0.000 3.996 4.635
Hg 3.996 0.000 1.545
Hg 3.996 3.996 0.000
```

Summary:
DFT formation energy	62.83	kJ per mole of atoms
SG	I-42d
energy	-3.1249	eV per atom
polymorph energy (0 for the lowest one)	113	meV per atom

---

No. 19
First-principles (PBE) data for an optimized crystal structure of LaAl12Ag4, as listed in Alexandria.

Structure (extended XYZ):
```
17
Lattice="-4.488 4.488 4.488 4.488 -4.488 4.488 4.488 4.488 -4.488" Properties=species:S:1:pos:R:3 pbc="T T T"
La 0.000 0.000 0.000
Al 3.164 0.000 1.368
Al 5.813 0.000 1.368
Al 4.488 3.120 -1.325
Al 1.368 3.164 0.000
Al 3.120 -1.325 4.488
Al 4.488 3.120 1.325
Al 0.000 1.368 3.164
Al 1.368 5.813 0.000
Al 3.120 1.325 4.488
Al 0.000 1.368 5.813
Al -1.325 4.488 3.120
Al 1.325 4.488 3.120
Ag 2.244 2.244 -2.244
Ag 2.244 -2.244 2.244
Ag -2.244 2.244 2.244
Ag 2.244 2.244 2.244
```

Summary:
DFT formation energy	14.32	kJ per mole of atoms
SG	Im-3
energy	-3.4541	eV per atom

---

No. 20
First-principles (PBE) data for an optimized crystal structure of CaSiMo, as listed in Alexandria.

Structure (extended XYZ):
```
6
Lattice="3.963 0.000 0.000 0.000 3.963 0.000 0.000 0.000 7.883" Properties=species:S:1:pos:R:3 pbc="T T T"
Ca 0.991 0.991 1.217
Ca 2.973 2.973 6.667
Si 0.991 0.991 5.635
Si 2.973 2.973 2.248
Mo 0.991 2.973 3.942
Mo 2.973 0.991 3.942
```

Summary:
formation energy (no corrections)	-31	kJ per mole of atoms
SG	P4/nmm
energy	-6.4071	eV per atom